(1)
Density functional theory data (PBE) for a relaxed structure of HfTiIrAu.

a = 4.6274 Å, b = 4.6274 Å, c = 4.6274 Å
α = 60.00°, β = 60.00°, γ = 60.00°
Last column: nearest neighbours and their distance in Å.
Fractional coordinates of all 4 atoms:
Au1 0.5000 0.5000 0.5000  4 Hf 2.83, 4 Ti 2.83
Ti1 0.2500 0.2500 0.2500  4 Au 2.83, 4 Ir 2.83
Ir1 0.0000 0.0000 0.0000  4 Hf 2.83, 4 Ti 2.83
Hf1 0.7500 0.7500 0.7500  4 Au 2.83, 4 Ir 2.83

Crystal system: cubic
Space group: No. 216

=====

(2)
Density functional theory data (PBE) for a relaxed structure of KZr2Tl.

a = 5.2113 Å, b = 5.2113 Å, c = 5.2113 Å
α = 60.00°, β = 60.00°, γ = 60.00°
Last column: nearest neighbours and their distance in Å.
Fractional coordinates of all 4 atoms:
Zr1 0.7500 0.7500 0.7500  4 Tl 3.19, 4 K 3.19
Tl1 0.5000 0.5000 0.5000  8 Zr 3.19
Zr2 0.2500 0.2500 0.2500  4 Tl 3.19, 4 K 3.19
K1 0.0000 0.0000 0.0000  8 Zr 3.19

Crystal system: cubic
Space group: No. 225

=====

(3)
Density functional theory data (PBE) for a relaxed structure of CePaMn.

a = 4.9832 Å, b = 4.0679 Å, c = 4.0679 Å
α = 120.00°, β = 90.00°, γ = 90.00°
Last column: nearest neighbours and their distance in Å.
Fractional coordinates of all 3 atoms:
Ce1 0.6666 0.6667 0.3333  6 Pa 3.42, 6 Mn 3.42
Mn1 0.1667 0.3333 0.6667  3 Pa 2.35
Pa1 0.1667 0.0000 0.0000  3 Mn 2.35

Crystal system: hexagonal
Space group: No. 187

=====

no.,energy (eV per cell)
1,-32.2
2,-17.7
3,-24.2